The following is a PBE with a Hubbard U calculation of a relaxed structure of Sr2MnAuF, from the Alexandria database.

Cell and atoms, written as POSCAR:
```
Sr2MnAuF
1.0
6.046 0.000 0.000
0.000 6.046 0.000
0.000 0.000 5.051
Sr Mn Au F
2 1 1 1
Direct
0.000 0.500 0.000
0.500 0.000 0.000
0.000 0.000 0.500
0.000 0.000 0.000
0.500 0.500 0.500
```

Computed properties:
Total magnetization ... 0.946 μB/atom
Calculated total energy ... -19.10 eV/cell
Theoretical density ... 4.013 g/cm3